Ho7Tl4Pb: optimized geometry, GGA-PBE.

```
12
Lattice="7.1721 -2.8811 0.0000 7.1721 2.8811 0.0000 -6.7186 0.0000 8.8746" Properties=species:S:1:pos:R:3 pbc="T T T"
Ho 0.0000 0.0000 0.0000
Ho -1.6871 0.0000 5.1961
Ho 3.2575 0.0000 1.1225
Ho 1.6067 0.0000 6.0152
Ho 6.0190 0.0000 2.8594
Ho 4.3682 0.0000 7.7522
Ho 9.3128 0.0000 3.6785
Tl -4.2214 0.0000 6.8632
Tl 0.7511 0.0000 3.0221
Tl 6.8746 0.0000 5.8526
Tl 11.8471 0.0000 2.0115
Pb 7.1721 0.0000 0.0000
```

Properties
E_form: -1.93 kcal/mol of atoms

Ho5TlPb6: optimized geometry, GGA-PBE.

```
12
Lattice="-2.4251 4.5379 7.6678 2.4251 -4.5379 7.6678 2.4251 4.5379 -7.6678" Properties=species:S:1:pos:R:3 pbc="T T T"
Ho 0.0000 0.0000 0.0000
Ho 2.4251 0.0000 2.6529
Ho 0.0000 0.0000 5.4507
Ho 0.0000 0.0000 9.8849
Ho 0.0000 4.5379 5.0149
Tl 0.0000 4.5379 0.0000
Pb 2.4251 -2.3140 5.0516
Pb 2.4251 2.1044 0.0000
Pb 0.0000 2.2239 2.6162
Pb 2.4251 2.3140 5.0516
Pb 0.0000 2.4335 7.6678
Pb 0.0000 6.8519 2.6162
```

Properties
E_form: -8.52 kcal/mol of atoms

Ho5Tl2Pb: optimized geometry, GGA-PBE.

```
16
Lattice="-4.1692 4.1692 6.6105 4.1692 -4.1692 6.6105 4.1692 4.1692 -6.6105" Properties=species:S:1:pos:R:3 pbc="T T T"
Ho 0.0000 0.0000 0.0000
Ho 5.4450 1.2758 -1.9990
Ho 1.2758 2.8934 -1.9990
Ho 5.4450 1.2758 1.9990
Ho 1.2758 2.8934 1.9990
Ho 0.0000 0.0000 6.6105
Ho 2.8934 1.2758 4.6115
Ho -1.2758 2.8934 4.6115
Ho 2.8934 1.2758 8.6095
Ho -1.2758 2.8934 8.6095
Tl 2.9570 1.2122 0.0000
Tl 2.9570 -1.2122 6.6105
Tl 1.2122 5.3814 0.0000
Tl 1.2122 2.9570 6.6105
Pb 0.0000 0.0000 3.3052
Pb 0.0000 0.0000 9.9157
```

Properties
E_form: -8.06 kcal/mol of atoms

Ho2Tl3Pb2: optimized geometry, GGA-PBE.

```
7
Lattice="5.8135 -2.3511 0.0000 5.8135 2.3511 0.0000 -0.3132 0.0000 7.4264" Properties=species:S:1:pos:R:3 pbc="T T T"
Ho 1.4788 0.0000 2.9372
Ho 9.8351 0.0000 4.4892
Tl 0.0000 0.0000 0.0000
Tl 3.0049 0.0000 6.4076
Tl 8.3090 0.0000 1.0188
Pb 4.8096 0.0000 2.3699
Pb 6.5044 0.0000 5.0565
```

Properties
E_form: -4.58 kcal/mol of atoms

Ho3Tl2Pb: optimized geometry, GGA-PBE.

```
6
Lattice="2.5298 -7.5943 0.0000 2.5298 7.5943 0.0000 0.0000 0.0000 4.2629" Properties=species:S:1:pos:R:3 pbc="T T T"
Ho 0.0000 0.0000 0.0000
Ho 2.5298 2.5276 0.0000
Ho 2.5298 -2.5276 0.0000
Tl 2.5298 5.0196 2.1314
Tl 2.5298 -5.0196 2.1314
Pb 2.5298 0.0000 2.1314
```

Properties
E_form: -8.21 kcal/mol of atoms

Ho4Tl2Pb: optimized geometry, GGA-PBE.

```
14
Lattice="6.5912 -4.6563 0.0000 6.5912 4.6563 0.0000 -6.5648 0.0000 6.6008" Properties=species:S:1:pos:R:3 pbc="T T T"
Ho -0.6878 0.0000 1.6423
Ho 1.6691 1.3547 3.9976
Ho -1.6327 -0.9719 5.9036
Ho 4.9485 1.3547 2.6032
Ho 2.6070 -2.3281 1.6441
Ho 8.2503 -0.9719 0.6972
Ho 4.0106 -2.3281 4.9567
Ho 7.3054 0.0000 4.9585
Tl 3.3088 4.1445 3.3004
Tl 2.4942 0.6777 0.8072
Tl 6.5912 1.8680 0.0000
Tl 4.1234 0.6777 5.7936
Pb 0.8409 -1.6504 4.1254
Pb 5.7767 -1.6504 2.4754
```

Properties
E_form: -7.56 kcal/mol of atoms

no.,calculated volume (Å³ per cell),M_tot (μB per atom)
1,366.77,0.00
2,337.53,0.00
3,459.62,0.00
4,203.01,0.00
5,163.80,0.00
6,405.17,0.00